1.
# Cr2SiSn | Alexandria | PBE | relaxed
# spin magnetization: 30.4 μB per cell
# energy relative to the lowest polymorph listed for this composition: 0.306 eV/atom
# crystal system: tetragonal
# formation energy from raw total energies: 2.53 eV/f.u.
data_Cr2SiSn
_symmetry_space_group_name_H-M 'I -4 2 d'
_symmetry_Int_Tables_number 122
_symmetry_space_group_name_Hall 'I -4 2bw'
_cell_length_a 4.224
_cell_length_b 4.224
_cell_length_c 17.501
_cell_angle_alpha 90.00
_cell_angle_beta 90.00
_cell_angle_gamma 90.00
loop_
_atom_site_label
_atom_site_fract_x
_atom_site_fract_y
_atom_site_fract_z
Cr1 0.223 0.250 0.125
Si1 0.000 0.000 0.000
Sn1 0.000 0.000 0.500


2.
# Cr2SiSn | Alexandria | PBE | relaxed
# spin magnetization: 15.2 μB per cell
# energy relative to the lowest polymorph listed for this composition: 0.000 eV/atom
# crystal system: cubic
# formation energy from raw total energies: 1.31 eV/f.u.
data_Cr2SiSn
_symmetry_space_group_name_H-M 'F m -3 m'
_symmetry_Int_Tables_number 225
_symmetry_space_group_name_Hall '-F 4 2 3'
_cell_length_a 6.179
_cell_length_b 6.179
_cell_length_c 6.179
_cell_angle_alpha 90.00
_cell_angle_beta 90.00
_cell_angle_gamma 90.00
loop_
_atom_site_label
_atom_site_fract_x
_atom_site_fract_y
_atom_site_fract_z
Cr1 0.250 0.250 0.250
Si1 0.000 0.000 0.000
Sn1 0.000 0.000 0.500


3.
# CrSi3Sn | Alexandria | PBE | relaxed
# spin magnetization: 0.6 μB per cell
# energy relative to the lowest polymorph listed for this composition: 0.000 eV/atom
# crystal system: cubic
# formation energy from raw total energies: 2.34 eV/f.u.
data_CrSi3Sn
_symmetry_space_group_name_H-M 'P m -3 m'
_symmetry_Int_Tables_number 221
_symmetry_space_group_name_Hall '-P 4 2 3'
_cell_length_a 4.569
_cell_length_b 4.569
_cell_length_c 4.569
_cell_angle_alpha 90.00
_cell_angle_beta 90.00
_cell_angle_gamma 90.00
loop_
_atom_site_label
_atom_site_fract_x
_atom_site_fract_y
_atom_site_fract_z
Cr1 0.000 0.000 0.000
Si1 0.000 0.000 0.500
Sn1 0.500 0.500 0.500


4.
# CrSi2Sn | Alexandria | PBE | relaxed
# spin magnetization: 10.9 μB per cell
# crystal system: tetragonal
# formation energy from raw total energies: 1.57 eV/f.u.
data_CrSi2Sn
_symmetry_space_group_name_H-M 'I -4 2 d'
_symmetry_Int_Tables_number 122
_symmetry_space_group_name_Hall 'I -4 2bw'
_cell_length_a 4.262
_cell_length_b 4.262
_cell_length_c 16.622
_cell_angle_alpha 90.00
_cell_angle_beta 90.00
_cell_angle_gamma 90.00
loop_
_atom_site_label
_atom_site_fract_x
_atom_site_fract_y
_atom_site_fract_z
Cr1 0.000 0.000 0.000
Si1 0.146 0.250 0.125
Sn1 0.000 0.000 0.500